# YCdSe2, relaxed, DFT PBE-GGA
data_YCdSe2
_chemical_formula_sum 'Y2 Cd2 Se4'
_cell_length_a 3.8554
_cell_length_b 3.9748
_cell_length_c 13.0184
_cell_angle_alpha 90.00
_cell_angle_beta 90.00
_cell_angle_gamma 90.00
_space_group_name_H-M_alt 'I m m 2'
_space_group_IT_number 44
loop_
_space_group_symop_operation_xyz
'x,y,z'
'-x,-y,z'
'-x,y,z'
'x,-y,z'
'x+1/2,y+1/2,z+1/2'
'-x+1/2,-y+1/2,z+1/2'
'-x+1/2,y+1/2,z+1/2'
'x+1/2,-y+1/2,z+1/2'
loop_
_atom_site_label
_atom_site_fract_x
_atom_site_fract_y
_atom_site_fract_z
Y1 0.0000 0.0000 0.0000
Cd1 0.0000 0.5000 0.7810
Se1 0.0000 0.0000 0.5762
Se2 0.0000 0.5000 0.3313
# N(E_F) ... 0.326 states/eV per atom
# Final energy ... -4.679 eV/atom
# Uncorrected formation energy ... -1.091 eV per atom
# Crystal system ... orthorhombic